Density functional theory data (PBE) for a relaxed PmEuEr2 crystal.

abc: 8.128 8.128 8.128
angles: 90.00 90.00 90.00
Atoms (fractional coordinates):
Pm (0.000, 0.000, 0.000)
Pm (0.000, 0.500, 0.500)
Pm (0.500, 0.000, 0.500)
Pm (0.500, 0.500, 0.000)
Eu (0.000, 0.000, 0.500)
Eu (0.000, 0.500, 0.000)
Eu (0.500, 0.000, 0.000)
Eu (0.500, 0.500, 0.500)
Er (0.250, 0.250, 0.250)
Er (0.250, 0.250, 0.750)
Er (0.250, 0.750, 0.250)
Er (0.250, 0.750, 0.750)
Er (0.750, 0.250, 0.250)
Er (0.750, 0.250, 0.750)
Er (0.750, 0.750, 0.250)
Er (0.750, 0.750, 0.750)

For the formation energy, the calculation gives 0.15 eV per atom. As for the space group: Fm-3m (225). As for the energy above the most stable polymorph in this dataset: 32 kJ/mol of formula units.



Density functional theory data (PBE) for a relaxed La3Sm2Y6Mg crystal.

abc: 6.237 6.237 11.914
angles: 95.03 95.03 120.05
Atoms (fractional coordinates):
La (0.000, 0.000, 0.000)
La (0.334, 0.666, 0.000)
La (0.666, 0.334, 0.000)
Sm (0.166, 0.834, 0.500)
Sm (0.834, 0.166, 0.500)
Y (0.088, 0.419, 0.255)
Y (0.250, 0.250, 0.745)
Y (0.419, 0.088, 0.255)
Y (0.581, 0.912, 0.745)
Y (0.750, 0.750, 0.255)
Y (0.912, 0.581, 0.745)
Mg (0.500, 0.500, 0.500)

For the formation energy, the calculation gives 0.03 eV per atom. As for the space group: C2/m (12).



Density functional theory data (PBE) for a relaxed Sr6AgCl12 crystal.

abc: 8.664 8.664 8.664
angles: 92.86 92.86 92.86
Atoms (fractional coordinates):
Sr (0.070, 0.592, 0.763)
Sr (0.237, 0.930, 0.408)
Sr (0.408, 0.237, 0.930)
Sr (0.592, 0.763, 0.070)
Sr (0.763, 0.070, 0.592)
Sr (0.930, 0.408, 0.237)
Ag (0.500, 0.500, 0.500)
Cl (0.042, 0.911, 0.681)
Cl (0.089, 0.319, 0.958)
Cl (0.157, 0.603, 0.422)
Cl (0.319, 0.958, 0.089)
Cl (0.397, 0.578, 0.843)
Cl (0.422, 0.157, 0.603)
Cl (0.578, 0.843, 0.397)
Cl (0.603, 0.422, 0.157)
Cl (0.681, 0.042, 0.911)
Cl (0.843, 0.397, 0.578)
Cl (0.911, 0.681, 0.042)
Cl (0.958, 0.089, 0.319)

As for the space group: R-3 (148). The raw formation energy is -2.164 eV per atom.



Density functional theory data (PBE) for a relaxed Sm4Bi2Ru crystal.

abc: 7.109 6.705 8.888
angles: 90.00 103.17 90.00
Atoms (fractional coordinates):
Sm (0.156, 0.009, 0.299)
Sm (0.156, 0.491, 0.299)
Sm (0.295, 0.250, 0.921)
Sm (0.317, 0.750, 0.662)
Sm (0.683, 0.250, 0.338)
Sm (0.705, 0.750, 0.079)
Sm (0.844, 0.509, 0.701)
Sm (0.844, 0.991, 0.701)
Bi (0.183, 0.750, 0.980)
Bi (0.440, 0.250, 0.610)
Bi (0.560, 0.750, 0.390)
Bi (0.817, 0.250, 0.020)
Ru (0.039, 0.250, 0.567)
Ru (0.961, 0.750, 0.433)

For the formation energy, the calculation gives -0.53 eV per atom. As for the space group: P2_1/m (11). As for the energy above the most stable polymorph in this dataset: 0 kJ/mol of formula units.



Density functional theory data (PBE) for a relaxed BaSi2Ag crystal.

abc: 4.557 4.557 4.677
angles: 90.00 90.00 90.00
Atoms (fractional coordinates):
Ba (0.000, 0.000, 0.000)
Si (0.000, 0.500, 0.500)
Si (0.500, 0.000, 0.500)
Ag (0.500, 0.500, 0.000)

As for the space group: P4/mmm (123). The raw formation energy is 0.357 eV per atom.



Density functional theory data (PBE) for a relaxed LiVSe3 crystal.

abc: 3.952 3.952 7.141
angles: 90.00 90.00 90.00
Atoms (fractional coordinates):
Li (0.000, 0.000, 0.000)
V (0.500, 0.500, 0.487)
Se (0.000, 0.000, 0.656)
Se (0.000, 0.500, 0.259)
Se (0.500, 0.000, 0.259)

As for the space group: P4mm (99). As for the energy above the most stable polymorph in this dataset: 189 kJ/mol of formula units. The raw formation energy is -0.352 eV per atom.



Density functional theory data (PBE) for a relaxed Rh2WI2 crystal.

abc: 6.861 6.861 4.364
angles: 90.00 90.00 90.00
Atoms (fractional coordinates):
Rh (0.141, 0.359, 0.000)
Rh (0.359, 0.859, 0.000)
Rh (0.641, 0.141, 0.000)
Rh (0.859, 0.641, 0.000)
W (0.000, 0.000, 0.000)
W (0.500, 0.500, 0.000)
I (0.184, 0.684, 0.500)
I (0.316, 0.184, 0.500)
I (0.684, 0.816, 0.500)
I (0.816, 0.316, 0.500)

As for the space group: P4/mbm (127). As for the energy above the most stable polymorph in this dataset: 0 kJ/mol of formula units. The raw formation energy is 0.947 eV per atom.



Density functional theory data (PBE) for a relaxed CsOsOF2 crystal.

abc: 5.242 5.242 4.328
angles: 90.00 90.00 90.00
Atoms (fractional coordinates):
Cs (0.000, 0.000, 0.000)
Os (0.500, 0.500, 0.500)
O (0.000, 0.000, 0.500)
F (0.000, 0.500, 0.000)
F (0.500, 0.000, 0.000)

As for the space group: P4/mmm (123). The raw formation energy is 0.789 eV per atom.



Density functional theory data (PBE) for a relaxed Nd6Sb2Te3As crystal.

abc: 10.051 10.051 8.999
angles: 103.52 103.52 25.60
Atoms (fractional coordinates):
Nd (0.001, 0.001, 0.227)
Nd (0.332, 0.332, 0.422)
Nd (0.344, 0.344, 0.918)
Nd (0.656, 0.656, 0.082)
Nd (0.668, 0.668, 0.578)
Nd (0.999, 0.999, 0.773)
Sb (0.166, 0.166, 0.332)
Sb (0.834, 0.834, 0.668)
Te (0.170, 0.170, 0.835)
Te (0.500, 0.500, 0.500)
Te (0.830, 0.830, 0.165)
As (0.500, 0.500, 0.000)

As for the space group: C2/m (12). The raw formation energy is -1.409 eV per atom.



Density functional theory data (PBE) for a relaxed SiRuIN2 crystal.

abc: 3.905 3.905 5.700
angles: 90.00 90.00 90.00
Atoms (fractional coordinates):
Si (0.000, 0.000, 0.000)
Ru (0.500, 0.500, 0.500)
I (0.500, 0.500, 0.000)
N (0.000, 0.500, 0.500)
N (0.500, 0.000, 0.500)

As for the space group: P4/mmm (123). As for the energy above the most stable polymorph in this dataset: 44 kJ/mol of formula units. The raw formation energy is 1.244 eV per atom.



no.,theoretical density (g/cm3),magnetization (μB/atom)
1,7.812,1.7634
2,5.361,0.0002
3,2.714,0.0468
4,9.020,0.0000
5,5.152,0.0000
6,4.388,0.3414
7,10.404,0.2931
8,5.266,1.0739
9,6.823,0.0000
10,5.427,0.0003